VASP calculation (GGA-PBE) on a geometry-optimized Ta6VPd structure.

Lattice parameters (Å, degrees): 4.6053 4.6053 7.2932 71.60 71.60 90.00
Last column: nearest neighbours and their distance in Å.
Fractional coordinates of all 8 atoms:
Ta 0.7453 0.7453 0.5094  8 Ta 2.80-2.87
Ta 0.6228 0.1228 0.7544  4 Ta 2.80-2.87, 2 Pd 2.81, 2 V 2.81
Ta 0.1228 0.6228 0.7544  4 Ta 2.80-2.87, 2 V 2.81, 2 Pd 2.81
Ta 0.3772 0.8772 0.2456  4 Ta 2.80-2.87, 2 Pd 2.81, 2 V 2.81
Ta 0.2547 0.2547 0.4906  8 Ta 2.80-2.87
Ta 0.8772 0.3772 0.2456  4 Ta 2.80-2.87, 2 V 2.81, 2 Pd 2.81
V 0.5000 0.5000 0.0000  8 Ta 2.81
Pd 0.0000 0.0000 0.0000  8 Ta 2.81

Values from the calculation:
* D(E_F): 0.8676 states/eV per atom
* magnetization: 0.00 μB per formula unit
* space-group type: I4/mmm, No. 139
* DFT formation energy: -0.060 eV per atom



VASP calculation (GGA-PBE) on a geometry-optimized BaMgZnH6 structure.

Lattice parameters (Å, degrees): 5.0322 5.0322 5.4574 90.03 89.98 59.95
Last column: nearest neighbours and their distance in Å.
Fractional coordinates of all 9 atoms:
Ba 0.9996 0.9997 0.0000  6 H 2.57
Mg 0.6666 0.6666 0.5000  6 H 1.94
Zn 0.3333 0.3334 0.5000  6 H 1.85
H 0.0141 0.3880 0.2983  1 Zn 1.85, 1 Mg 1.94
H 0.3880 0.0141 0.7017  1 Zn 1.85, 1 Mg 1.94
H 0.5979 0.3882 0.7015  1 Zn 1.85, 1 Mg 1.94
H 0.0139 0.5982 0.7009  1 Zn 1.85, 1 Mg 1.94
H 0.3882 0.5979 0.2985  1 Zn 1.85, 1 Mg 1.94
H 0.5982 0.0139 0.2991  1 Zn 1.85, 1 Mg 1.94

Values from the calculation:
* D(E_F): 0.0000 states/eV per atom
* magnetization: 0.00 μB per formula unit
* VASP energy: -2.951 eV per atom
* space-group type: P312, No. 149



VASP calculation (GGA-PBE) on a geometry-optimized MnCdSi2 structure.

Lattice parameters (Å, degrees): 4.2398 4.2398 5.5677 78.73 78.73 40.77
Last column: nearest neighbours and their distance in Å.
Fractional coordinates of all 4 atoms:
Cd 0.2500 0.2500 0.2500  6 Si 2.86-2.91, 2 Cd 2.95, 4 Mn 3.15
Mn 0.7500 0.7500 0.7500  6 Si 2.40-2.50
Si 0.0178 0.0178 0.9203  3 Mn 2.40-2.50, 2 Si 2.47
Si 0.4822 0.4822 0.5797  3 Mn 2.40-2.50, 2 Si 2.47

Values from the calculation:
* D(E_F): 0.6104 states/eV per atom
* ΔE_f (raw): 0.1414 eV per atom
* magnetization: 1.62 μB per formula unit
* space-group type: C2/m, No. 12



VASP calculation (GGA-PBE) on a geometry-optimized SrHgW3 structure.

Lattice parameters (Å, degrees): 5.0738 5.0738 5.0738 90.00 90.00 90.00
Last column: nearest neighbours and their distance in Å.
Fractional coordinates of all 5 atoms:
Sr 0.5000 0.5000 0.5000  12 W 3.59
Hg 0.0000 0.0000 0.0000  6 W 2.54
W 0.0000 0.5000 0.0000  2 Hg 2.54
W 0.0000 0.0000 0.5000  2 Hg 2.54
W 0.5000 0.0000 0.0000  2 Hg 2.54

Values from the calculation:
* D(E_F): 1.8531 states/eV per atom
* excess energy over the best structure of this formula in the dataset: 0 meV/atom
* magnetization: 0.00 μB per formula unit
* space-group type: Pm-3m, No. 221
* DFT formation energy: 2.688 eV per atom